## BaS2ClF (GGA-PBE)

Data for a relaxed structure of BaS2ClF.

The space group is P4/mmm (No. 123) and the conventional cell measures 4.384, 4.384 and 5.902 Å, with angles of 90.00, 90.00 and 90.00 degrees. The distinct sites, in fractional coordinates, are Ba at (0.000, 0.000, 0.000), S at (0.000, 0.500, 0.500), Cl at (0.500, 0.500, 0.000) and F at (0.500, 0.500, 0.500).

For the formation energy from raw total energies, the calculation gives -85.18 kJ per mole of atoms. As for the total energy: -3.6619 eV/atom. The total magnetization is 0.0 μB/cell.



## BaS2ClF (GGA-PBE)

Data for a relaxed structure of BaS2ClF.

The space group is P4/mmm (No. 123) and the conventional cell measures 6.511, 6.511 and 5.839 Å, with angles of 90.00, 90.00 and 90.00 degrees. The distinct sites, in fractional coordinates, are Ba at (0.000, 0.000, 0.000), S at (0.000, 0.500, 0.000), Cl at (0.000, 0.000, 0.500) and F at (0.500, 0.500, 0.500).

For the formation energy from raw total energies, the calculation gives -18.93 kJ per mole of atoms. As for the total energy: -2.9753 eV/atom. The total magnetization is 4.0 μB/cell.